Record 1
A relaxed CaNpCr2O8 crystal. Source: Alexandria via LeMat-Bulk, functional PBE with a Hubbard U.

Results
The electronic total energy comes out at -189.6 eV/cell.

Lattice parameters (Å, degrees): 7.1000 7.1000 6.4281 90.00 90.00 90.00
Closest atoms and distances in Å follow each position.
Space group I-4m2 (No. 119)
Symmetry-distinct sites (fractional):
Ca 0.0000 0.0000 0.0000  8 O 2.32-2.54
Np 0.0000 0.5000 0.7500  8 O 2.19-2.44
Cr 0.0000 0.0000 0.5000  4 O 1.80
Cr 0.0000 0.5000 0.2500  4 O 1.71
O 0.0000 0.2003 0.6726  1 Cr 1.80
O 0.0000 0.3202 0.0727  1 Cr 1.71

Record 2
A relaxed CaNpCrO6 crystal. Source: Alexandria via LeMat-Bulk, functional PBE with a Hubbard U.

Results
The electronic total energy comes out at -150.3 eV/cell.

Lattice parameters (Å, degrees): 5.3519 5.3519 10.0577 90.00 90.00 120.00
Closest atoms and distances in Å follow each position.
Space group P-31c (No. 163)
Symmetry-distinct sites (fractional):
Ca 0.0000 0.0000 0.0000  6 O 2.41
Np 0.3333 0.6667 0.2500  6 O 2.03
Cr 0.3333 0.6667 0.7500  6 O 2.02
O 0.0012 0.3616 0.6429  1 Cr 2.02, 1 Np 2.03

Record 3
A relaxed CaCrO2 crystal. Source: Alexandria via LeMat-Bulk, functional PBE with a Hubbard U.

Results
The calculation puts the energy relative to the lowest polymorph listed for this composition at 606 meV/atom.

Lattice parameters (Å, degrees): 3.1687 3.1687 19.0233 90.00 90.00 120.00
Closest atoms and distances in Å follow each position.
Space group R-3m (No. 166, hexagonal axes)
Symmetry-distinct sites (fractional):
Ca 0.0000 0.0000 0.0000  2 O 2.20
Cr 0.0000 0.0000 0.5000  6 O 2.07
O 0.0000 0.0000 0.1155  3 Cr 2.07, 1 Ca 2.20